# AcCoBi2O8 PBE with a Hubbard U relaxed
# total DFT energy (no corrections)	-71.8	eV for the cell shown
# total magnetic moment	3.94	μB/f.u.
# DOS at the Fermi energy	2.7	states/eV per cell
data_AcCoBi2O8
_chemical_formula_sum 'Ac1 Co1 Bi2 O8'
_space_group_name_H-M_alt 'P 1'
_space_group_IT_number 1
_space_group_name_Hall 'P 1'
_cell_length_a 5.077
_cell_length_b 5.143
_cell_length_c 6.876
_cell_angle_alpha 90.29
_cell_angle_beta 90.59
_cell_angle_gamma 94.76
loop_
_atom_site_label
_atom_site_type_symbol
_atom_site_fract_x
_atom_site_fract_y
_atom_site_fract_z
_atom_site_occupancy
Ac1 Ac 0.000 0.000 0.000 1
Co1 Co 0.000 0.000 0.500 1
Bi1 Bi 0.498 0.501 0.733 1
Bi2 Bi 0.502 0.499 0.267 1
O1 O 0.168 0.226 0.289 1
O2 O 0.173 0.205 0.703 1
O3 O 0.321 0.718 0.500 1
O4 O 0.359 0.698 0.002 1
O5 O 0.641 0.302 0.998 1
O6 O 0.679 0.282 0.500 1
O7 O 0.827 0.795 0.297 1
O8 O 0.832 0.774 0.711 1